No. 1
This record from the Alexandria database describes an optimized crystal structure of Sr2Sb4Rh3Au. The functional is PBE.

Results
E_form (uncorrected) = -0.66 eV/atom
M_tot = 0.00 μB per formula unit
D(E_F) = 5.58 states/eV/f.u.
VASP energy = -5.1762 eV/atom

Unit cell a=4.6750 b=4.6750 c=10.6717 alpha=90.00 beta=90.00 gamma=90.00
Last column: nearest neighbours and their distance in Å.
Space group P-4m2 (No. 115)
Symmetry-distinct sites (fractional):
Sr1 0.0000 0.5000 0.2482 x2  8 Sb 3.52-3.56, 6 Rh 3.53-3.60, 2 Au 3.53
Sb1 0.0000 0.0000 0.5000 x1  4 Rh 2.66
Sb2 0.0000 0.5000 0.8640 x2  3 Rh 2.62-2.75, 2 Au 2.75
Sb3 0.5000 0.5000 0.5000 x1  4 Rh 2.66
Rh1 0.0000 0.0000 0.0000 x1  4 Sb 2.75
Rh2 0.0000 0.5000 0.6187 x2  5 Sb 2.62-2.66
Au1 0.5000 0.5000 0.0000 x1  4 Sb 2.75

---

No. 2
This record from the Alexandria database describes an optimized crystal structure of LiYNbRu. The functional is PBE.

Results
M_tot = 0.00 μB per formula unit
D(E_F) = 2.14 states/eV/f.u.
VASP energy = -6.9534 eV/atom

Unit cell a=6.6227 b=6.6227 c=6.6227 alpha=90.00 beta=90.00 gamma=90.00
Last column: nearest neighbours and their distance in Å.
Space group F-43m (No. 216)
Symmetry-distinct sites (fractional):
Li1 0.0000 0.0000 0.0000 x4  4 Nb 2.87, 4 Y 2.87
Y1 0.2500 0.2500 0.7500 x4  4 Li 2.87, 4 Ru 2.87
Nb1 0.2500 0.2500 0.2500 x4  4 Ru 2.87, 4 Li 2.87
Ru1 0.0000 0.0000 0.5000 x4  4 Y 2.87, 4 Nb 2.87

---

No. 3
This record from the Alexandria database describes an optimized crystal structure of FeNiW2. The functional is PBE.

Results
Energy relative to the lowest polymorph listed for this composition = 16 meV per atom
M_tot = 0.00 μB per formula unit
D(E_F) = 3.39 states/eV/f.u.
VASP energy = -9.9458 eV/atom

Unit cell a=2.7015 b=3.6970 c=5.3520 alpha=90.00 beta=90.15 gamma=90.00
Last column: nearest neighbours and their distance in Å.
Space group P2/m (No. 10)
Symmetry-distinct sites (fractional):
Fe1 0.0000 0.0000 0.0000 x1  8 W 2.64, 2 Ni 2.68, 2 Fe 2.70
Ni1 0.0000 0.0000 0.5000 x1  8 W 2.66-2.67, 2 Fe 2.68, 2 Ni 2.70
W1 0.4999 0.5000 0.2447 x2  4 W 2.62-2.73, 4 Fe 2.64, 4 Ni 2.66-2.67

---

No. 4
This record from the Alexandria database describes an optimized crystal structure of SiI2OF. The functional is PBE.

Results
Energy relative to the lowest polymorph listed for this composition = 0 meV per atom
E_form (uncorrected) = -0.54 eV/atom
M_tot = 0.00 μB per formula unit
D(E_F) = 4.98 states/eV/f.u.
VASP energy = -3.6151 eV/atom

Unit cell a=5.5185 b=5.5185 c=3.3327 alpha=90.00 beta=90.00 gamma=90.00
Last column: nearest neighbours and their distance in Å.
Space group P4/mmm (No. 123)
Symmetry-distinct sites (fractional):
Si1 0.0000 0.0000 0.0000 x1  2 O 1.67
I1 0.0000 0.5000 0.0000 x2  2 Si 2.76
O1 0.0000 0.0000 0.5000 x1  2 Si 1.67
F1 0.5000 0.5000 0.5000 x1  8 I 3.22, 2 F 3.33

---

No. 5
This record from the Alexandria database describes an optimized crystal structure of Hg2PbSe. The functional is PBE.

Results
E_form (uncorrected) = -0.06 eV/atom
M_tot = 0.00 μB per formula unit
D(E_F) = 0.67 states/eV/f.u.
VASP energy = -2.0051 eV/atom

Unit cell a=5.3113 b=5.3113 c=7.7388 alpha=90.00 beta=90.00 gamma=90.00
Last column: nearest neighbours and their distance in Å.
Space group I-4m2 (No. 119)
Symmetry-distinct sites (fractional):
Hg1 0.0000 0.0000 0.0000 x2  4 Hg 3.29, 4 Pb 3.29
Hg2 0.0000 0.5000 0.2500 x2  4 Hg 3.29, 4 Se 3.29
Pb1 0.0000 0.5000 0.7500 x2  4 Hg 3.29, 4 Se 3.29
Se1 0.0000 0.0000 0.5000 x2  4 Hg 3.29, 4 Pb 3.29

---

No. 6
This record from the Alexandria database describes an optimized crystal structure of RbCa2VGa. The functional is PBE.

Results
M_tot = 4.58 μB per formula unit
D(E_F) = 5.80 states/eV/f.u.
VASP energy = -2.5140 eV/atom

Unit cell a=5.8932 b=5.8932 c=6.3874 alpha=90.00 beta=90.00 gamma=90.00
Last column: nearest neighbours and their distance in Å.
Space group P4/mmm (No. 123)
Symmetry-distinct sites (fractional):
Rb1 0.0000 0.0000 0.0000 x1  2 V 3.19
Ca1 0.0000 0.5000 0.5000 x2  2 V 2.95
V1 0.0000 0.0000 0.5000 x1  4 Ca 2.95, 2 Rb 3.19
Ga1 0.5000 0.5000 0.0000 x1  4 Rb 4.17, 8 Ca 4.35

---

No. 7
This record from the Alexandria database describes an optimized crystal structure of Ca2Sb3Rh4. The functional is PBE.

Results
E_form (uncorrected) = -0.66 eV/atom
M_tot = 0.00 μB per formula unit
D(E_F) = 5.24 states/eV/f.u.
VASP energy = -5.7456 eV/atom

Unit cell a=6.1677 b=15.8075 c=7.4240 alpha=90.00 beta=90.00 gamma=90.00
Last column: nearest neighbours and their distance in Å.
Space group Cmce (No. 64)
Symmetry-distinct sites (fractional):
Ca1 0.0000 0.0998 0.0842 x8  3 Rh 2.96-3.17, 2 Sb 3.24
Sb1 0.0000 0.0000 0.5000 x4  6 Rh 2.66-2.75
Sb2 0.2500 0.2376 0.7500 x8  5 Rh 2.63-2.72
Rh1 0.0000 0.1737 0.4813 x8  5 Sb 2.70-2.75, 2 Rh 3.00
Rh2 0.2500 0.0711 0.7500 x8  3 Sb 2.63-2.66

---

No. 8
This record from the Alexandria database describes an optimized crystal structure of GdHo2As. The functional is PBE.

Results
M_tot = 8.42 μB per formula unit
D(E_F) = 6.11 states/eV/f.u.
VASP energy = -7.5717 eV/atom

Unit cell a=3.8524 b=3.8524 c=28.2523 alpha=90.00 beta=90.00 gamma=120.00
Last column: nearest neighbours and their distance in Å.
Space group R-3m (No. 166, hexagonal axes)
Symmetry-distinct sites (fractional):
Gd1 0.0000 0.0000 0.0000 x3  6 Ho 3.72, 6 Gd 3.85
Ho1 0.0000 0.0000 0.2278 x6  3 As 2.82
As1 0.0000 0.0000 0.5000 x3  6 Ho 2.82